w) ## TcAuS3 (PBE)

Data for a relaxed TcAuS3 crystal.

Unit cell a=4.8113 b=4.8113 c=4.8113 alpha=90.00 beta=90.00 gamma=90.00
Atoms (fractional coordinates):
S: 0.5000 0.0000 0.0000
S: 0.0000 0.0000 0.5000
S: 0.0000 0.5000 0.0000
Au: 0.0000 0.0000 0.0000
Tc: 0.5000 0.5000 0.5000

Values from the calculation:
Theoretical density in Mg/m³: 5.8
Size of the total moment in μB per formula unit: 4.279


x) ## TcAuS3 (PBE)

Data for a relaxed TcAuS3 crystal.

Unit cell a=4.6305 b=4.6305 c=4.6305 alpha=90.00 beta=90.00 gamma=90.00
Atoms (fractional coordinates):
Au: 0.5000 0.5000 0.5000
S: 0.0000 0.0000 0.5000
S: 0.0000 0.5000 0.0000
S: 0.5000 0.0000 0.0000
Tc: 0.0000 0.0000 0.0000

Values from the calculation:
Theoretical density in Mg/m³: 6.5
Size of the total moment in μB per formula unit: 0.000


Least stable = w)


w) ## TeAuS (PBE)

Data for a relaxed TeAuS crystal.

Unit cell a=3.9772 b=3.9772 c=4.8618 alpha=90.00 beta=90.00 gamma=120.00
Atoms (fractional coordinates):
Te: 0.6667 0.3333 0.3592
S: 0.0000 0.0000 0.9571
Au: 0.3333 0.6667 0.6837

Values from the calculation:
Theoretical density in Mg/m³: 8.9
Size of the total moment in μB per formula unit: 0.000


x) ## TeAuS (PBE)

Data for a relaxed TeAuS crystal.

Unit cell a=4.4316 b=5.9513 c=6.4679 alpha=92.63 beta=76.86 gamma=71.30
Atoms (fractional coordinates):
Te: 0.3627 0.2947 0.5139
Te: 0.6074 0.8076 0.9987
S: 0.1993 0.7270 0.5776
S: 0.7708 0.3753 0.9349
Au: 0.0318 0.2961 0.2236
Au: 0.9384 0.8062 0.2889

Values from the calculation:
Theoretical density in Mg/m³: 7.6
Size of the total moment in μB per formula unit: 0.000


y) ## TeAuS (PBE)

Data for a relaxed TeAuS crystal.

Unit cell a=5.3555 b=4.9831 c=8.3302 alpha=82.80 beta=94.48 gamma=49.03
Atoms (fractional coordinates):
Te: 0.8367 0.2748 0.6074
Te: 0.1580 0.7228 0.3969
S: 0.4495 0.2326 0.1387
S: 0.5466 0.7637 0.8659
Au: 0.6505 0.1814 0.8824
Au: 0.3453 0.8149 0.1221

Values from the calculation:
Theoretical density in Mg/m³: 7.3
Size of the total moment in μB per formula unit: 0.000


Least stable = y)


w) ## Ti3AuS (PBE)

Data for a relaxed Ti3AuS crystal.

Unit cell a=4.4621 b=4.4621 c=4.4621 alpha=90.00 beta=90.00 gamma=90.00
Atoms (fractional coordinates):
Ti: 0.0000 0.5000 0.0000
Ti: 0.5000 0.0000 0.0000
Ti: 0.0000 0.0000 0.5000
S: 0.0000 0.0000 0.0000
Au: 0.5000 0.5000 0.5000

Values from the calculation:
Theoretical density in Mg/m³: 7.0
Size of the total moment in μB per formula unit: 0.000


x) ## Ti3AuS (PBE)

Data for a relaxed Ti3AuS crystal.

Unit cell a=4.9262 b=4.9262 c=4.9262 alpha=90.00 beta=90.00 gamma=90.00
Atoms (fractional coordinates):
Ti: 0.5000 0.0000 0.0000
Ti: 0.0000 0.5000 0.0000
Ti: 0.0000 0.0000 0.5000
Au: 0.0000 0.0000 0.0000
S: 0.5000 0.5000 0.5000

Values from the calculation:
Theoretical density in Mg/m³: 5.2
Size of the total moment in μB per formula unit: 3.195


y) ## Ti3AuS (PBE)

Data for a relaxed Ti3AuS crystal.

Unit cell a=4.6537 b=7.5781 c=4.9474 alpha=90.00 beta=90.00 gamma=107.86
Atoms (fractional coordinates):
Ti: 0.1948 0.3896 0.5000
Ti: 0.0000 0.0000 0.7411
Ti: 0.0000 0.0000 0.2589
Ti: 0.3139 0.6279 0.0000
Ti: 0.8052 0.6104 0.5000
Ti: 0.6861 0.3721 0.0000
S: 0.1449 0.2898 0.0000
S: 0.8551 0.7102 0.0000
Au: 0.5950 0.1900 0.5000
Au: 0.4050 0.8100 0.5000

Values from the calculation:
Theoretical density in Mg/m³: 7.5
Size of the total moment in μB per formula unit: 0.000


Least stable = x)